First-principles (PBE+U) data for Li2FeBiO4 after structural relaxation, as listed in Alexandria.

Values from the calculation:
The value obtained for the size of the total moment is 0.628 μB/atom. The value obtained for the electronic total energy is -5.595 eV/atom. The space group is Imma (74).

Cell: 6.533 6.533 6.533 Å, 123.16 121.23 86.25°
Fractional coordinates of all 16 atoms:
1 Li 0.000 0.000 0.000
2 Li 0.500 0.000 0.000
3 Li 0.500 0.000 0.500
4 Li 0.500 0.500 0.500
5 Fe 0.000 0.000 0.500
6 Fe 0.000 0.500 0.000
7 Bi 0.000 0.500 0.500
8 Bi 0.500 0.500 0.000
9 O 0.217 0.195 0.478
10 O 0.217 0.738 0.022
11 O 0.228 0.748 0.480
12 O 0.233 0.252 0.980
13 O 0.767 0.748 0.020
14 O 0.772 0.252 0.520
15 O 0.783 0.262 0.978
16 O 0.783 0.805 0.522